[1]
Density functional theory data (PBE) for a relaxed structure of Y2BePb.

Output
Magnetic moment ... 0.0 μB per cell
Excess energy over the best structure of this formula in the dataset ... 0.197 eV per atom
Energy relative to the elements ... -0.025 eV/atom
Symmetry ... No. 166
Calculated total energy ... -5.12 eV per atom

Structure (extended XYZ):
```
4
Lattice="1.862 1.075 8.782 -1.862 1.075 8.782 0.000 -2.150 8.782" Properties=species:S:1:pos:R:3 pbc="T T T"
Y 0.000 0.000 6.186
Y 0.000 0.000 20.160
Be 0.000 0.000 13.173
Pb 0.000 0.000 0.000
```

[2]
Density functional theory data (PBE) for a relaxed structure of Y2BePb.

Output
Magnetic moment ... 0.0 μB per cell
Excess energy over the best structure of this formula in the dataset ... 0.124 eV per atom
Energy relative to the elements ... -0.098 eV/atom
Symmetry ... No. 225
Calculated total energy ... -5.19 eV per atom

Structure (extended XYZ):
```
4
Lattice="0.000 3.659 3.659 3.659 0.000 3.659 3.659 3.659 0.000" Properties=species:S:1:pos:R:3 pbc="T T T"
Y 1.829 1.829 1.829
Y 5.488 5.488 5.488
Be 0.000 0.000 0.000
Pb 3.659 3.659 3.659
```

[3]
Density functional theory data (PBE) for a relaxed structure of Y2BePb.

Output
Magnetic moment ... 0.0 μB per cell
Excess energy over the best structure of this formula in the dataset ... 0.900 eV per atom
Energy relative to the elements ... 0.678 eV/atom
Symmetry ... No. 71
Calculated total energy ... -4.41 eV per atom

Structure (extended XYZ):
```
4
Lattice="-1.770 2.668 6.103 1.770 -2.668 6.103 1.770 2.668 -6.103" Properties=species:S:1:pos:R:3 pbc="T T T"
Y 0.000 0.000 2.782
Y 0.000 0.000 9.425
Be 0.000 0.000 0.000
Pb 0.000 0.000 6.103
```

[4]
Density functional theory data (PBE) for a relaxed structure of YBePb2.

Output
Magnetic moment ... 0.0 μB per cell
Energy relative to the elements ... 0.121 eV/atom
Symmetry ... No. 139
Calculated total energy ... -4.28 eV per atom

Structure (extended XYZ):
```
4
Lattice="-2.255 2.255 4.866 2.255 -2.255 4.866 2.255 2.255 -4.866" Properties=species:S:1:pos:R:3 pbc="T T T"
Y 0.000 0.000 0.000
Be 0.000 0.000 4.866
Pb 2.255 0.000 2.433
Pb 0.000 2.255 2.433
```